# 1
Compound: ErTmCu2Sn
Source: OQMD via LeMat-Bulk
Functional: PBE
Structure: relaxed

abc: 3.579 7.131 7.131
angles: 34.20 90.00 90.00
Fractional positions:
Er 0.000 0.000 0.000
Tm 0.000 0.736 0.736
Cu 0.500 0.167 0.167
Cu 0.500 0.570 0.570
Sn 0.500 0.368 0.368

Results
For the density, the calculation gives 9.45 Mg/m³. Its total DFT energy (no corrections) is -22.83 eV per cell.

# 2
Compound: PrGa2CuAg
Source: OQMD via LeMat-Bulk
Functional: PBE
Structure: relaxed

abc: 4.312 4.312 10.477
angles: 90.00 90.00 90.00
Fractional positions:
Pr 0.250 0.250 0.237
Pr 0.750 0.750 0.763
Ga 0.250 0.250 0.652
Ga 0.250 0.750 0.000
Ga 0.750 0.250 0.000
Ga 0.750 0.750 0.348
Cu 0.250 0.250 0.881
Cu 0.750 0.750 0.119
Ag 0.250 0.750 0.500
Ag 0.750 0.250 0.500

Results
For the density, the calculation gives 7.70 Mg/m³. Its total DFT energy (no corrections) is -39.05 eV per cell.

# 3
Compound: Al7FeCu2
Source: OQMD via LeMat-Bulk
Functional: PBE
Structure: relaxed

abc: 6.317 6.317 14.738
angles: 90.00 90.00 90.00
Fractional positions:
Al 0.000 0.000 0.133
Al 0.000 0.000 0.867
Al 0.084 0.294 0.400
Al 0.084 0.294 0.600
Al 0.164 0.664 0.250
Al 0.164 0.664 0.750
Al 0.206 0.416 0.100
Al 0.206 0.416 0.900
Al 0.294 0.916 0.400
Al 0.294 0.916 0.600
Al 0.336 0.164 0.250
Al 0.336 0.164 0.750
Al 0.416 0.794 0.100
Al 0.416 0.794 0.900
Al 0.500 0.500 0.367
Al 0.500 0.500 0.633
Al 0.584 0.206 0.100
Al 0.584 0.206 0.900
Al 0.664 0.836 0.250
Al 0.664 0.836 0.750
Al 0.706 0.084 0.400
Al 0.706 0.084 0.600
Al 0.794 0.584 0.100
Al 0.794 0.584 0.900
Al 0.836 0.336 0.250
Al 0.836 0.336 0.750
Al 0.916 0.706 0.400
Al 0.916 0.706 0.600
Fe 0.000 0.000 0.299
Fe 0.000 0.000 0.701
Fe 0.500 0.500 0.201
Fe 0.500 0.500 0.799
Cu 0.087 0.729 0.000
Cu 0.229 0.587 0.500
Cu 0.271 0.087 0.000
Cu 0.413 0.229 0.500
Cu 0.587 0.771 0.500
Cu 0.729 0.913 0.000
Cu 0.771 0.413 0.500
Cu 0.913 0.271 0.000

Results
For the density, the calculation gives 4.20 Mg/m³. Its total DFT energy (no corrections) is -177.97 eV per cell.

# 4
Compound: DyMg
Source: OQMD via LeMat-Bulk
Functional: PBE
Structure: relaxed

abc: 5.387 13.454 6.058
angles: 90.00 90.00 90.00
Fractional positions:
Dy 0.250 0.005 0.165
Dy 0.250 0.123 0.649
Dy 0.250 0.377 0.649
Dy 0.250 0.495 0.165
Dy 0.750 0.505 0.835
Dy 0.750 0.623 0.351
Dy 0.750 0.877 0.351
Dy 0.750 0.995 0.835
Mg 0.250 0.250 0.151
Mg 0.250 0.629 0.673
Mg 0.250 0.750 0.146
Mg 0.250 0.871 0.673
Mg 0.750 0.129 0.327
Mg 0.750 0.250 0.854
Mg 0.750 0.371 0.327
Mg 0.750 0.750 0.849

Results
For the density, the calculation gives 5.65 Mg/m³. Its total DFT energy (no corrections) is -48.60 eV per cell.

# 5
Compound: ZnFeBAu
Source: OQMD via LeMat-Bulk
Functional: PBE
Structure: relaxed

abc: 4.212 4.212 4.212
angles: 60.00 60.00 60.00
Fractional positions:
Zn 0.000 0.000 0.000
Fe 0.500 0.500 0.500
B 0.250 0.250 0.250
Au 0.750 0.750 0.750

Results
For the density, the calculation gives 10.34 Mg/m³. Its total DFT energy (no corrections) is -16.72 eV per cell.

# 6
Compound: RbHg2Au
Source: OQMD via LeMat-Bulk
Functional: PBE
Structure: relaxed

abc: 6.433 6.433 8.228
angles: 90.00 90.00 135.58
Fractional positions:
Rb 0.068 0.932 0.750
Rb 0.932 0.068 0.250
Hg 0.357 0.643 0.557
Hg 0.357 0.643 0.943
Hg 0.643 0.357 0.057
Hg 0.643 0.357 0.443
Au 0.219 0.781 0.250
Au 0.781 0.219 0.750

Results
For the density, the calculation gives 9.53 Mg/m³. Its total DFT energy (no corrections) is -11.63 eV per cell.

# 7
Compound: NaHfAlPt
Source: OQMD via LeMat-Bulk
Functional: PBE
Structure: relaxed

abc: 4.589 4.589 4.589
angles: 60.00 60.00 60.00
Fractional positions:
Na 0.000 0.000 0.000
Hf 0.750 0.750 0.750
Al 0.250 0.250 0.250
Pt 0.500 0.500 0.500

Results
For the density, the calculation gives 10.29 Mg/m³. Its total DFT energy (no corrections) is -23.01 eV per cell.

# 8
Compound: ZrScCuSb
Source: OQMD via LeMat-Bulk
Functional: PBE
Structure: relaxed

abc: 4.844 4.844 4.844
angles: 60.00 60.00 60.00
Fractional positions:
Zr 0.000 0.000 0.000
Sc 0.750 0.750 0.750
Cu 0.500 0.500 0.500
Sb 0.250 0.250 0.250

Results
For the density, the calculation gives 6.64 Mg/m³. Its total DFT energy (no corrections) is -22.34 eV per cell.

# 9
Compound: HgGeSO
Source: OQMD via LeMat-Bulk
Functional: PBE
Structure: relaxed

abc: 4.072 4.072 9.307
angles: 90.00 90.00 90.00
Fractional positions:
Hg 0.250 0.750 0.000
Hg 0.750 0.250 0.000
Ge 0.250 0.250 0.304
Ge 0.750 0.750 0.696
S 0.250 0.250 0.673
S 0.750 0.750 0.327
O 0.250 0.250 0.498
O 0.750 0.750 0.502

Results
For the density, the calculation gives 6.92 Mg/m³. Its total DFT energy (no corrections) is -29.48 eV per cell.

# 10
Compound: KHfAu3S4
Source: OQMD via LeMat-Bulk
Functional: PBE
Structure: relaxed

abc: 6.162 7.675 10.002
angles: 90.00 106.73 90.00
Fractional positions:
K 0.212 0.250 0.376
K 0.788 0.750 0.624
Hf 0.128 0.250 0.794
Hf 0.872 0.750 0.206
Au 0.285 0.561 0.000
Au 0.285 0.939 0.000
Au 0.410 0.750 0.266
Au 0.590 0.250 0.734
Au 0.715 0.061 0.000
Au 0.715 0.439 0.000
S 0.073 0.250 0.030
S 0.177 0.750 0.419
S 0.338 0.506 0.760
S 0.338 0.994 0.760
S 0.662 0.006 0.240
S 0.662 0.494 0.240
S 0.823 0.250 0.581
S 0.927 0.750 0.970

Results
For the density, the calculation gives 6.87 Mg/m³. Its total DFT energy (no corrections) is -86.09 eV per cell.

# 11
Compound: TbGdHg3
Source: OQMD via LeMat-Bulk
Functional: PBE
Structure: relaxed

abc: 3.571 6.695 6.747
angles: 60.41 88.27 88.08
Fractional positions:
Tb 0.000 0.000 0.000
Gd 0.001 0.335 0.331
Hg 0.479 0.672 0.410
Hg 0.496 0.413 0.918
Hg 0.523 0.924 0.668

Results
For the density, the calculation gives 10.87 Mg/m³. The energy of formation from the pure elements is -0.2086 eV/atom. Its total DFT energy (no corrections) is -11.22 eV per cell.

# 12
Compound: AlB2W3
Source: OQMD via LeMat-Bulk
Functional: PBE
Structure: relaxed

abc: 3.088 3.088 18.772
angles: 90.00 90.00 120.00
Fractional positions:
Al 0.000 0.000 0.250
Al 0.000 0.000 0.750
B 0.333 0.667 0.071
B 0.333 0.667 0.429
B 0.667 0.333 0.571
B 0.667 0.333 0.929
W 0.000 0.000 0.000
W 0.000 0.000 0.500
W 0.333 0.667 0.637
W 0.333 0.667 0.863
W 0.667 0.333 0.137
W 0.667 0.333 0.363

Results
For the density, the calculation gives 12.85 Mg/m³. Its total DFT energy (no corrections) is -114.09 eV per cell.